(1)
Ce2ThU3P6, relaxed, DFT PBE; uncorrected energy = -8.37 eV per atom; energy of formation from the pure elements = -1.234 eV per atom; symmetry = No. 12
1.0
3.459 -5.993 0.000
3.459 5.993 0.000
-2.305 0.000 6.669
Ce Th U P
2 1 3 6
direct
0.167 0.833 0.000 Ce
0.833 0.167 0.000 Ce
0.500 0.500 0.000 Th
0.000 0.000 0.500 U
0.334 0.666 0.500 U
0.666 0.334 0.500 U
0.077 0.412 0.737 P
0.252 0.252 0.263 P
0.412 0.077 0.737 P
0.588 0.923 0.263 P
0.748 0.748 0.737 P
0.923 0.588 0.263 P


(2)
NdDy2Tm, relaxed, DFT PBE; distance to the lowest polymorph of the same formula = 0.0015 eV per atom; uncorrected energy = -4.59 eV per atom; energy of formation from the pure elements = 0.021 eV per atom; symmetry = No. 119
1.0
5.053 0.000 0.000
0.000 5.053 0.000
0.000 0.000 10.015
Nd Dy Tm
2 4 2
direct
0.000 0.000 0.000 Nd
0.500 0.500 0.500 Nd
0.000 0.000 0.500 Dy
0.000 0.500 0.250 Dy
0.500 0.000 0.750 Dy
0.500 0.500 0.000 Dy
0.000 0.500 0.750 Tm
0.500 0.000 0.250 Tm